Entry from Alexandria via LeMat-Bulk: crystalline FeCuReAg2 at its relaxed geometry (PBE).

Structure (extended XYZ):
```
5
Lattice="5.115 0.000 0.000 0.000 4.343 0.000 0.000 0.000 5.115" Properties=species:S:1:pos:R:3 pbc="T T T"
Re 0.000 0.000 0.000
Cu 2.558 2.172 2.558
Ag 0.000 0.000 2.558
Ag 2.558 0.000 0.000
Fe 0.000 2.172 0.000
```

Values from the calculation:
space-group type: P4/mmm (123)
energy relative to the elements: 8.6 eV/f.u.
Fermi-level density of states: 4.64 states/eV per cell